Here is a relaxed structure of AgAs2Ru from Alexandria. Energies are from PBE.

Cell and atoms, written as extended XYZ:
```
16
Lattice="6.404 0.000 0.000 0.000 6.404 0.000 0.000 0.000 6.404" Properties=species:S:1:pos:R:3 pbc="T T T"
Ag 0.000 0.000 0.000
Ag 0.000 3.202 3.202
Ag 3.202 0.000 3.202
Ag 3.202 3.202 0.000
As 1.601 1.601 1.601
As 1.601 1.601 4.803
As 1.601 4.803 1.601
As 1.601 4.803 4.803
As 4.803 1.601 1.601
As 4.803 1.601 4.803
As 4.803 4.803 1.601
As 4.803 4.803 4.803
Ru 0.000 0.000 3.202
Ru 0.000 3.202 0.000
Ru 3.202 0.000 0.000
Ru 3.202 3.202 3.202
```

Calculated values
Size of the total moment: 0.00 μB per formula unit
Distance to the lowest polymorph of the same formula: 241 meV/atom
Calculated formation energy: 0.26 eV/atom
Symmetry: Fm-3m, No. 225